An optimized crystal structure of Fe2WSe. Source: Alexandria, functional PBE-GGA.

Cell and atoms, written as CIF:
```
data_Fe2WSe
_space_group_name_H-M_alt 'C m m m'
_space_group_IT_number 65
_space_group_name_Hall '-C 2 2'
_cell_length_a 3.1786
_cell_length_b 4.4967
_cell_length_c 8.2083
_cell_angle_alpha 90.00
_cell_angle_beta 90.00
_cell_angle_gamma 90.00
loop_
_atom_site_label
_atom_site_fract_x
_atom_site_fract_y
_atom_site_fract_z
Fe1 0.0000 0.0000 0.2475
W1 0.0000 0.5000 0.0000
Se1 0.0000 0.5000 0.5000
```

Energy relative to the elements, uncorrected, eV/atom: 0.369
Uncorrected energy, eV/atom: -7.97